VASP calculation (GGA-PBE) on a geometry-optimized Zr3Nb4Ga4 structure.

Computed properties:
**Calculated volume**: 214 Å³/cell
**Fermi-level density of states**: 8.8 states/eV/cell
**Formation energy from the elements**: -262 meV/atom
**Space-group type**: No. 71

abc: 8.527 8.527 8.527
angles: 155.66 122.69 63.18
Fractional coordinates of all 11 atoms:
Zr (0.000, 0.000, 0.000)
Zr (0.383, 0.883, 0.500)
Zr (0.617, 0.117, 0.500)
Nb (0.033, 0.325, 0.708)
Nb (0.383, 0.675, 0.708)
Nb (0.617, 0.325, 0.292)
Nb (0.967, 0.675, 0.292)
Ga (0.232, 0.232, 0.000)
Ga (0.294, 0.500, 0.794)
Ga (0.706, 0.500, 0.206)
Ga (0.768, 0.768, 0.000)